# 1
A plane-wave DFT calculation with PBE was carried out for a geometry-optimized Li2AlNi structure.

Lattice parameters (Å, degrees): 5.1856 5.1856 5.1856 148.72 132.80 57.72
With the nearest neighbours (Å) after each atom.
Sites, in units of the cell vectors:
Li: 0.5181 0.5181 0.0000  6 Li 2.52-2.80, 2 Ni 2.53, 2 Al 2.81
Li: 0.9819 0.9819 0.0000  6 Li 2.52-2.80, 2 Ni 2.53, 2 Al 2.81
Ni: 0.7500 0.2500 0.5000  4 Al 2.50, 4 Li 2.53, 2 Ni 2.80
Al: 0.2500 0.7500 0.5000  4 Ni 2.50, 2 Al 2.80

Properties
For the formation energy, the calculation gives -0.2295 eV per atom. As for the density of states at the Fermi level: 0.439 states/eV/atom. The calculation puts the magnetization at 0.00 μB per formula unit.

=====

# 2
A plane-wave DFT calculation with PBE was carried out for a geometry-optimized LiAl2Ni3 structure.

Lattice parameters (Å, degrees): 3.9171 5.0259 5.0259 120.00 90.00 90.00
With the nearest neighbours (Å) after each atom.
Sites, in units of the cell vectors:
Ni: 0.0000 0.0000 0.5000  4 Al 2.44, 2 Li 2.51, 4 Ni 2.51
Ni: 0.0000 0.5000 0.5000  4 Al 2.44, 4 Ni 2.51, 2 Li 2.51
Ni: 0.0000 0.5000 0.0000  4 Al 2.44, 4 Ni 2.51, 2 Li 2.51
Al: 0.5000 0.6667 0.3333  6 Ni 2.44
Al: 0.5000 0.3333 0.6667  6 Ni 2.44
Li: 0.0000 0.0000 0.0000  6 Ni 2.51

Properties
For the formation energy, the calculation gives -0.2973 eV per atom. The energy relative to the lowest polymorph listed for this composition comes out at 153 meV/atom. As for the density of states at the Fermi level: 0.615 states/eV/atom. The calculation puts the magnetization at 0.00 μB per formula unit.

=====

# 3
A plane-wave DFT calculation with PBE was carried out for a geometry-optimized LiAl2Ni2 structure.

Lattice parameters (Å, degrees): 3.8520 3.8520 5.7932 70.58 70.58 90.00
With the nearest neighbours (Å) after each atom.
Sites, in units of the cell vectors:
Ni: 0.3895 0.3895 0.2209  1 Ni 2.26, 4 Al 2.40
Ni: 0.6105 0.6105 0.7791  1 Ni 2.26, 4 Al 2.40
Li: 0.0000 0.0000 0.0000  8 Ni 2.95, 8 Al 3.20
Al: 0.2500 0.7500 0.5000  4 Ni 2.40
Al: 0.7500 0.2500 0.5000  4 Ni 2.40

Properties
For the formation energy, the calculation gives -0.2037 eV per atom. The energy relative to the lowest polymorph listed for this composition comes out at 298 meV/atom. As for the density of states at the Fermi level: 0.336 states/eV/atom. The calculation puts the magnetization at 0.00 μB per formula unit.

=====

# 4
A plane-wave DFT calculation with PBE was carried out for a geometry-optimized LiAl3Ni structure.

Lattice parameters (Å, degrees): 4.5012 4.5012 4.5012 90.00 90.00 90.00
With the nearest neighbours (Å) after each atom.
Sites, in units of the cell vectors:
Al: 0.5000 0.0000 0.0000  2 Ni 2.25
Al: 0.0000 0.0000 0.5000  2 Ni 2.25
Al: 0.0000 0.5000 0.0000  2 Ni 2.25
Li: 0.5000 0.5000 0.5000  12 Al 3.18
Ni: 0.0000 0.0000 0.0000  6 Al 2.25

Properties
For the formation energy, the calculation gives -0.1158 eV per atom. The energy relative to the lowest polymorph listed for this composition comes out at 162 meV/atom. As for the density of states at the Fermi level: 0.356 states/eV/atom. The calculation puts the magnetization at 0.00 μB per formula unit.

=====

# 5
A plane-wave DFT calculation with PBE was carried out for a geometry-optimized Li2AlNi structure.

Lattice parameters (Å, degrees): 4.3318 3.5167 3.5167 90.00 90.00 90.00
With the nearest neighbours (Å) after each atom.
Sites, in units of the cell vectors:
Li: 0.0000 0.5000 0.5000  4 Li 2.49
Li: 0.0000 0.0000 0.0000  4 Li 2.49
Al: 0.5000 0.0000 0.5000  4 Ni 2.49
Ni: 0.5000 0.5000 0.0000  4 Al 2.49

Properties
For the formation energy, the calculation gives -0.1822 eV per atom. As for the density of states at the Fermi level: 0.313 states/eV/atom. The calculation puts the magnetization at 0.00 μB per formula unit.

=====

# 6
A plane-wave DFT calculation with PBE was carried out for a geometry-optimized Li2AlNi structure.

Lattice parameters (Å, degrees): 2.8024 4.1538 4.5108 90.00 90.00 90.00
With the nearest neighbours (Å) after each atom.
Sites, in units of the cell vectors:
Ni: 0.5000 0.0000 0.5000  4 Al 2.51, 4 Li 2.66, 2 Ni 2.80
Li: 0.0000 0.0000 0.0000  6 Li 2.51-2.80, 4 Ni 2.66
Li: 0.5000 0.5000 0.0000  6 Li 2.51-2.80, 4 Al 2.66
Al: 0.0000 0.5000 0.5000  4 Ni 2.51, 4 Li 2.66, 2 Al 2.80

Properties
For the formation energy, the calculation gives -0.2150 eV per atom. As for the density of states at the Fermi level: 0.431 states/eV/atom. The calculation puts the magnetization at 0.00 μB per formula unit.

=====

# 7
A plane-wave DFT calculation with PBE was carried out for a geometry-optimized Li2AlNi6 structure.

Lattice parameters (Å, degrees): 3.5934 7.4731 7.4732 90.00 90.00 90.00
With the nearest neighbours (Å) after each atom.
Sites, in units of the cell vectors:
Ni: 0.5000 0.1635 0.9907  8 Ni 2.45-2.56, 3 Li 2.45-2.50, 1 Al 2.52
Ni: 0.0000 0.3365 0.4907  8 Ni 2.45-2.56, 3 Li 2.45-2.50, 1 Al 2.52
Ni: 0.0000 0.9907 0.8365  8 Ni 2.45-2.56, 3 Li 2.45-2.50, 1 Al 2.52
Ni: 0.5000 0.8365 0.0093  8 Ni 2.45-2.56, 3 Li 2.45-2.50, 1 Al 2.52
Ni: 0.5000 0.1582 0.6582  2 Al 2.45, 4 Li 2.47-2.54, 6 Ni 2.49-2.56
Ni: 0.0000 0.3418 0.1582  2 Al 2.45, 4 Li 2.47-2.54, 6 Ni 2.49-2.56
Ni: 0.0000 0.0093 0.1635  8 Ni 2.45-2.56, 3 Li 2.45-2.50, 1 Al 2.52
Ni: 0.5000 0.4907 0.6635  8 Ni 2.45-2.56, 3 Li 2.45-2.50, 1 Al 2.52
Ni: 0.0000 0.6582 0.8418  2 Al 2.45, 4 Li 2.47-2.54, 6 Ni 2.49-2.56
Ni: 0.5000 0.8418 0.3418  2 Al 2.45, 4 Li 2.47-2.54, 6 Ni 2.49-2.56
Ni: 0.5000 0.5093 0.3365  8 Ni 2.45-2.56, 3 Li 2.45-2.50, 1 Al 2.52
Ni: 0.0000 0.6635 0.5093  8 Ni 2.45-2.56, 3 Li 2.45-2.50, 1 Al 2.52
Li: 0.5000 0.1813 0.3187  10 Ni 2.45-2.54, 2 Al 2.63
Li: 0.5000 0.8187 0.6813  10 Ni 2.45-2.54, 2 Al 2.63
Li: 0.0000 0.6813 0.1813  10 Ni 2.45-2.54, 2 Al 2.63
Li: 0.0000 0.3187 0.8187  10 Ni 2.45-2.54, 2 Al 2.63
Al: 0.5000 0.5000 0.0000  8 Ni 2.45-2.52, 4 Li 2.63
Al: 0.0000 0.0000 0.5000  8 Ni 2.45-2.52, 4 Li 2.63

Properties
For the formation energy, the calculation gives -0.1378 eV per atom. As for the density of states at the Fermi level: 1.196 states/eV/atom. The calculation puts the magnetization at 0.84 μB per formula unit.

=====

# 8
A plane-wave DFT calculation with PBE was carried out for a geometry-optimized Li2AlNi structure.

Lattice parameters (Å, degrees): 4.8696 4.8696 2.6521 90.00 90.00 119.45
With the nearest neighbours (Å) after each atom.
Sites, in units of the cell vectors:
Li: 0.5000 0.5000 0.0000  4 Li 2.46-2.65
Li: 0.0000 0.0000 0.0000  4 Li 2.46-2.65
Al: 0.0000 0.5000 0.5000  2 Ni 2.46, 2 Al 2.65
Ni: 0.5000 0.0000 0.5000  2 Al 2.46, 2 Ni 2.65

Properties
For the formation energy, the calculation gives -0.0694 eV per atom. As for the density of states at the Fermi level: 0.511 states/eV/atom. The calculation puts the magnetization at 0.00 μB per formula unit.

=====

# 9
A plane-wave DFT calculation with PBE was carried out for a geometry-optimized LiAl4Ni3 structure.

Lattice parameters (Å, degrees): 4.1351 5.7979 8.2708 90.00 90.00 90.00
With the nearest neighbours (Å) after each atom.
Sites, in units of the cell vectors:
Al: 0.5000 0.2452 0.5000  6 Ni 2.51-2.54, 2 Li 2.54
Al: 0.0002 0.7548 0.7500  6 Ni 2.51-2.54, 2 Li 2.54
Al: 0.5000 0.7548 0.5000  6 Ni 2.51-2.54, 2 Li 2.54
Al: 0.5000 0.7548 0.0000  6 Ni 2.51-2.54, 2 Li 2.54
Al: 0.9998 0.7548 0.2500  6 Ni 2.51-2.54, 2 Li 2.54
Al: 0.5000 0.2452 0.0000  6 Ni 2.51-2.54, 2 Li 2.54
Al: 0.9998 0.2452 0.2500  6 Ni 2.51-2.54, 2 Li 2.54
Al: 0.0002 0.2452 0.7500  6 Ni 2.51-2.54, 2 Li 2.54
Ni: 0.5001 0.5000 0.7500  8 Al 2.54
Ni: 0.4997 0.0000 0.2500  8 Al 2.51
Ni: 0.0000 0.0000 0.5000  8 Al 2.51
Ni: 0.4999 0.5000 0.2500  8 Al 2.54
Ni: 0.5003 0.0000 0.7500  8 Al 2.51
Ni: 0.0000 0.0000 0.0000  8 Al 2.51
Li: 0.0000 0.5000 0.5000  8 Al 2.54
Li: 0.0000 0.5000 0.0000  8 Al 2.54

Properties
For the formation energy, the calculation gives -0.5463 eV per atom. As for the density of states at the Fermi level: 0.320 states/eV/atom. The calculation puts the magnetization at 0.00 μB per formula unit.

=====

# 10
A plane-wave DFT calculation with PBE was carried out for a geometry-optimized Li2AlNi structure.

Lattice parameters (Å, degrees): 2.5994 2.5994 8.7155 90.00 90.00 110.56
With the nearest neighbours (Å) after each atom.
Sites, in units of the cell vectors:
Al: 0.5000 0.5000 0.7500  4 Al 2.60, 4 Li 2.80
Li: 0.0000 0.0000 0.4772  2 Ni 2.47, 4 Li 2.60
Li: 0.0000 0.0000 0.0228  2 Ni 2.47, 4 Li 2.60
Ni: 0.5000 0.5000 0.2500  4 Li 2.47, 4 Ni 2.60

Properties
For the formation energy, the calculation gives 0.0055 eV per atom. As for the density of states at the Fermi level: 0.475 states/eV/atom. The calculation puts the magnetization at 0.00 μB per formula unit.

=====

# 11
A plane-wave DFT calculation with PBE was carried out for a geometry-optimized Li2Al2Ni structure.

Lattice parameters (Å, degrees): 6.1429 6.1429 4.4506 90.00 90.00 90.00
With the nearest neighbours (Å) after each atom.
Sites, in units of the cell vectors:
Ni: 0.5000 0.5000 0.0000  4 Al 2.32
Ni: 0.0000 0.0000 0.0000  4 Al 2.32
Li: 0.6679 0.8321 0.5000  6 Al 2.70-2.98, 1 Li 2.92
Li: 0.1679 0.6679 0.5000  6 Al 2.70-2.98, 1 Li 2.92
Li: 0.8321 0.3321 0.5000  6 Al 2.70-2.98, 1 Li 2.92
Li: 0.3321 0.1679 0.5000  6 Al 2.70-2.98, 1 Li 2.92
Al: 0.8446 0.6554 0.0000  2 Ni 2.32
Al: 0.1554 0.3446 0.0000  2 Ni 2.32
Al: 0.6554 0.1554 0.0000  2 Ni 2.32
Al: 0.3446 0.8446 0.0000  2 Ni 2.32

Properties
For the formation energy, the calculation gives -0.0654 eV per atom. The energy relative to the lowest polymorph listed for this composition comes out at 0 meV/atom. As for the density of states at the Fermi level: 0.368 states/eV/atom. The calculation puts the magnetization at 0.00 μB per formula unit.

=====

# 12
A plane-wave DFT calculation with PBE was carried out for a geometry-optimized LiAl2Ni4 structure.

Lattice parameters (Å, degrees): 4.8484 4.8484 4.8484 109.34 109.54 109.54
With the nearest neighbours (Å) after each atom.
Sites, in units of the cell vectors:
Ni: 0.5000 0.5000 0.5000  2 Li 2.42, 4 Al 2.42
Ni: 0.0000 0.0000 0.5000  4 Al 2.42, 2 Li 2.42
Ni: 0.5000 0.0000 0.0000  2 Li 2.42, 4 Al 2.42
Ni: 0.0000 0.5000 0.0000  4 Al 2.42, 2 Li 2.42
Al: 0.5000 0.5000 0.0000  8 Ni 2.42
Al: 0.5000 0.0000 0.5000  8 Ni 2.42
Li: 0.0000 0.0000 0.0000  8 Ni 2.42

Properties
For the formation energy, the calculation gives -0.1973 eV per atom. As for the density of states at the Fermi level: 0.417 states/eV/atom. The calculation puts the magnetization at 0.00 μB per formula unit.